DFT (PBE) results for a geometry-optimized AcGe2Rh2 structure.

The space group is Fddd (No. 70, origin choice 2) and the conventional cell measures 5.935, 10.456 and 13.520 Å, with angles of 90.00, 90.00 and 90.00 degrees. Symmetry generates all atoms from Ac at (0.125, 0.125, 0.125), Ge at (0.125, 0.311, 0.625) and Rh at (0.125, 0.125, 0.512).

As for the magnetization: 0.00 μB/cell. The calculation puts the energy of formation from the pure elements at -0.80 eV/atom. Its energy above the most stable polymorph in this dataset is 0.054 eV/atom. The uncorrected energy is -0.471 Ry per atom.



DFT (PBE) results for a geometry-optimized TmSc5Hg4 structure.

The space group is P4/mmm (No. 123) and the conventional cell measures 3.487, 3.487 and 18.951 Å, with angles of 90.00, 90.00 and 90.00 degrees. Symmetry generates all atoms from Tm at (0.000, 0.000, 0.000), Sc at (0.500, 0.500, 0.121), Sc at (0.500, 0.500, 0.312), Sc at (0.500, 0.500, 0.500), Hg at (0.000, 0.000, 0.216) and Hg at (0.000, 0.000, 0.405).

As for the magnetization: 0.00 μB/cell. The calculation puts the energy of formation from the pure elements at -0.33 eV/atom. The uncorrected energy is -0.298 Ry per atom.



DFT (PBE) results for a geometry-optimized Pm4Nd6Sc structure.

The space group is Cmcm (No. 63) and the conventional cell measures 5.917, 9.733 and 25.925 Å, with angles of 90.00, 90.00 and 90.00 degrees. Symmetry generates all atoms from Pm at (0.000, 0.050, 0.123), Pm at (0.000, 0.353, 0.045), Nd at (0.000, 0.000, 0.000), Nd at (0.000, 0.051, 0.250), Nd at (0.000, 0.296, 0.607), Nd at (0.000, 0.380, 0.184) and Sc at (0.000, 0.288, 0.750).

As for the magnetization: 0.00 μB/cell. The calculation puts the energy of formation from the pure elements at 0.12 eV/atom. The uncorrected energy is -0.351 Ry per atom.



DFT (PBE) results for a geometry-optimized CaAl3Ge structure.

The space group is Pm-3m (No. 221) and the conventional cell measures 5.022, 5.022 and 5.022 Å, with angles of 90.00, 90.00 and 90.00 degrees. Symmetry generates all atoms from Ca at (0.000, 0.000, 0.000), Al at (0.000, 0.500, 0.500) and Ge at (0.500, 0.500, 0.500).

As for the magnetization: 0.00 μB/cell. The calculation puts the energy of formation from the pure elements at 0.34 eV/atom. Its energy above the most stable polymorph in this dataset is 0.570 eV/atom. The uncorrected energy is -0.238 Ry per atom.



DFT (PBE) results for a geometry-optimized CrInPCl2 structure.

The space group is P4/mmm (No. 123) and the conventional cell measures 4.890, 4.890 and 4.629 Å, with angles of 90.00, 90.00 and 90.00 degrees. Symmetry generates all atoms from Cr at (0.000, 0.000, 0.000), In at (0.500, 0.500, 0.500), P at (0.000, 0.000, 0.500) and Cl at (0.000, 0.500, 0.000).

Its energy relative to the elements, uncorrected is -0.30 eV per atom. As for the magnetization: 2.00 μB/cell. Its energy above the most stable polymorph in this dataset is 0.000 eV/atom. The uncorrected energy is -0.337 Ry per atom.



DFT (PBE) results for a geometry-optimized HoGa3Co3 structure.

The space group is Pm-3n (No. 223) and the conventional cell measures 6.374, 6.374 and 6.374 Å, with angles of 90.00, 90.00 and 90.00 degrees. Symmetry generates all atoms from Ho at (0.000, 0.000, 0.000), Ga at (0.000, 0.250, 0.500) and Co at (0.000, 0.500, 0.250).

As for the magnetization: 0.00 μB/cell. The calculation puts the energy of formation from the pure elements at 0.22 eV/atom. Its energy above the most stable polymorph in this dataset is 0.401 eV/atom. The uncorrected energy is -0.351 Ry per atom.



Question: Which value of magnetization does entry 2 give?
Answer: 0.00 μB/cell



Question: Which of these has the lowest uncorrected energy?
Answer: AcGe2Rh2



Question: What is the magnetization in the sixth record?
Answer: 0.00 μB/cell